A relaxed Nd4Y2Bi3N2 crystal. Source: the Alexandria database, functional PBE.

Its calculated total energy is -142.534 eV per cell. The value obtained for the density of states at the Fermi level is 0.3769 states/eV/atom. Its uncorrected formation energy is -0.9976 eV per atom. As for the crystal system: tetragonal.

The structure belongs to space group I4/mmm (No. 139); the cell edges are 4.838, 4.838 and 26.216 Å and the angles 90.00°, 90.00° and 90.00°. Symmetry generates all atoms from Nd at (0.000, 0.500, 0.085), Y at (0.000, 0.000, 0.192), Bi at (0.000, 0.000, 0.317), Bi at (0.000, 0.000, 0.500) and N at (0.000, 0.000, 0.108).

---

A relaxed HoPt5 crystal. Source: the Alexandria database, functional PBE.

Its calculated total energy is -77.041 eV per cell. For the formation energy, the calculation gives -3.74 eV/f.u. The value obtained for the density of states at the Fermi level is 0.9429 states/eV/atom. As for the crystal system: monoclinic.

The structure belongs to space group C2/m (No. 12); the cell edges are 4.989, 8.779 and 4.943 Å and the angles 90.00°, 109.70° and 90.00°. Symmetry generates all atoms from Ho at (0.000, 0.000, 0.000), Pt at (0.000, 0.176, 0.500), Pt at (0.000, 0.336, 0.000) and Pt at (0.000, 0.500, 0.500).

---

A relaxed NaCaSi2Sn crystal. Source: the Alexandria database, functional PBE.

Its calculated total energy is -15.477 eV per cell. The value obtained for the density of states at the Fermi level is 0.6816 states/eV/atom. Its uncorrected formation energy is 0.5385 eV per atom. As for the crystal system: tetragonal.

The structure belongs to space group P4/mmm (No. 123); the cell edges are 5.242, 5.242 and 5.351 Å and the angles 90.00°, 90.00° and 90.00°. Symmetry generates all atoms from Na at (0.000, 0.000, 0.000), Ca at (0.500, 0.500, 0.000), Si at (0.000, 0.500, 0.500) and Sn at (0.000, 0.000, 0.500).

---

The following calculated volume values (in Å³ per atom) correspond, in order, to the records above: 27.90 16.99 29.41.